Entry P
## CuAgSe2Br (PBE)

Data for a relaxed CuAgSe2Br crystal.

Calculated values
- Fermi-level density of states: 9.39 states/eV per cell
- Calculated volume: 27.28 A^3/atom
- SG: No. 123

Lattice parameters (Å, degrees): 5.0840 5.0840 5.2776 90.00 90.00 90.00
Sites, in units of the cell vectors:
1 Cu 0.0000 0.0000 0.0000
2 Ag 0.5000 0.5000 0.5000
3 Se 0.0000 0.5000 0.5000
4 Se 0.5000 0.0000 0.5000
5 Br 0.5000 0.5000 0.0000



Entry Q
## CuAgSe2Br (PBE)

Data for a relaxed CuAgSe2Br crystal.

Calculated values
- Fermi-level density of states: 4.07 states/eV per cell
- Calculated volume: 28.11 A^3/atom
- SG: No. 123

Lattice parameters (Å, degrees): 4.5363 4.5363 6.8311 90.00 90.00 90.00
Sites, in units of the cell vectors:
1 Cu 0.0000 0.0000 0.0000
2 Ag 0.5000 0.5000 0.5000
3 Se 0.0000 0.5000 0.0000
4 Se 0.5000 0.0000 0.0000
5 Br 0.0000 0.0000 0.5000



We find entry Q to be the most stable, with the next structure 402 meV per atom higher.